# 1
DFT (PBE-GGA) results for Re2PAu after structural relaxation.

Unit cell a=9.774 b=9.774 c=9.774 alpha=157.70 beta=157.70 gamma=31.74
Fractional coordinates of all 8 atoms:
Re (0.075, 0.625, 0.950)
Re (0.375, 0.325, 0.450)
Re (0.675, 0.125, 0.050)
Re (0.875, 0.925, 0.550)
P (0.000, 0.000, 0.000)
P (0.750, 0.250, 0.500)
Au (0.250, 0.750, 0.500)
Au (0.500, 0.500, 0.000)

**Energy of formation from the pure elements**: 757 meV per atom
**Total magnetization**: 0.00 μB per cell

---

# 2
DFT (PBE-GGA) results for Re2PAu after structural relaxation.

Unit cell a=4.274 b=5.298 c=5.298 alpha=31.94 beta=90.00 gamma=90.00
Fractional coordinates of all 4 atoms:
Re (0.000, 0.000, 0.000)
Re (0.500, 0.399, 0.399)
P (0.000, 0.309, 0.309)
Au (0.500, 0.659, 0.659)

**Energy of formation from the pure elements**: 280 meV per atom
**Total magnetization**: 0.00 μB per cell

---

# 3
DFT (PBE-GGA) results for ReP2Au after structural relaxation.

Unit cell a=6.319 b=6.319 c=6.319 alpha=153.86 beta=135.00 gamma=52.79
Fractional coordinates of all 4 atoms:
Re (0.000, 0.000, 0.000)
P (0.167, 0.667, 0.500)
P (0.833, 0.333, 0.500)
Au (0.500, 0.500, 0.000)

**Energy of formation from the pure elements**: 341 meV per atom
**Total magnetization**: 0.00 μB per cell
**Energy above the lowest structure with this stoichiometry**: 372.8 meV/atom

---

# 4
DFT (PBE-GGA) results for Re2PAu after structural relaxation.

Unit cell a=2.944 b=2.944 c=6.796 alpha=90.00 beta=90.00 gamma=90.00
Fractional coordinates of all 4 atoms:
Re (0.000, 0.000, 0.199)
Re (0.000, 0.000, 0.801)
P (0.500, 0.500, 0.000)
Au (0.500, 0.500, 0.500)

**Energy of formation from the pure elements**: 172 meV per atom
**Total magnetization**: 0.00 μB per cell

---

# 5
DFT (PBE-GGA) results for RePAu2 after structural relaxation.

Unit cell a=2.931 b=4.406 c=5.077 alpha=90.00 beta=90.00 gamma=90.00
Fractional coordinates of all 4 atoms:
Re (0.000, 0.000, 0.000)
P (0.500, 0.500, 0.000)
Au (0.000, 0.500, 0.500)
Au (0.500, 0.000, 0.500)

**Energy of formation from the pure elements**: 616 meV per atom
**Total magnetization**: 0.00 μB per cell

---

# 6
DFT (PBE-GGA) results for ReP2Au after structural relaxation.

Unit cell a=2.981 b=2.981 c=7.081 alpha=90.00 beta=90.00 gamma=90.00
Fractional coordinates of all 4 atoms:
Re (0.000, 0.000, 0.000)
P (0.500, 0.500, 0.200)
P (0.500, 0.500, 0.800)
Au (0.000, 0.000, 0.500)

**Energy of formation from the pure elements**: 165 meV per atom
**Total magnetization**: 0.00 μB per cell
**Energy above the lowest structure with this stoichiometry**: 196.7 meV/atom

---

# 7
DFT (PBE-GGA) results for RePAu after structural relaxation.

Unit cell a=4.225 b=4.225 c=4.225 alpha=60.00 beta=60.00 gamma=60.00
Fractional coordinates of all 3 atoms:
Re (0.000, 0.000, 0.000)
P (0.250, 0.250, 0.250)
Au (0.750, 0.750, 0.750)

**Energy of formation from the pure elements**: 553 meV per atom
**Total magnetization**: 0.00 μB per cell
**Energy above the lowest structure with this stoichiometry**: 399.1 meV/atom

---

# 8
DFT (PBE-GGA) results for Re2PAu after structural relaxation.

Unit cell a=2.926 b=3.793 c=5.748 alpha=90.00 beta=90.00 gamma=90.00
Fractional coordinates of all 4 atoms:
Re (0.000, 0.000, 0.000)
Re (0.500, 0.500, 0.202)
P (0.500, 0.500, 0.798)
Au (0.000, 0.000, 0.486)

**Energy of formation from the pure elements**: 387 meV per atom
**Total magnetization**: 0.00 μB per cell

---

# 9
DFT (PBE-GGA) results for RePAu2 after structural relaxation.

Unit cell a=5.478 b=5.478 c=5.478 alpha=140.04 beta=140.04 gamma=57.80
Fractional coordinates of all 4 atoms:
Re (0.000, 0.000, 0.000)
P (0.500, 0.500, 0.000)
Au (0.250, 0.750, 0.500)
Au (0.750, 0.250, 0.500)

**Energy of formation from the pure elements**: 762 meV per atom
**Total magnetization**: 2.05 μB per cell

---

# 10
DFT (PBE-GGA) results for ReP2Au after structural relaxation.

Unit cell a=7.807 b=7.807 c=7.807 alpha=22.81 beta=22.81 gamma=22.81
Fractional coordinates of all 4 atoms:
Re (0.000, 0.000, 0.000)
P (0.260, 0.260, 0.260)
P (0.740, 0.740, 0.740)
Au (0.500, 0.500, 0.500)

**Energy of formation from the pure elements**: 60 meV per atom
**Total magnetization**: 0.00 μB per cell
**Energy above the lowest structure with this stoichiometry**: 92.4 meV/atom

---

# 11
DFT (PBE-GGA) results for RePAu2 after structural relaxation.

Unit cell a=3.042 b=3.042 c=7.006 alpha=90.00 beta=90.00 gamma=90.00
Fractional coordinates of all 4 atoms:
Re (0.000, 0.000, 0.000)
P (0.500, 0.500, 0.842)
Au (0.000, 0.000, 0.567)
Au (0.500, 0.500, 0.283)

**Energy of formation from the pure elements**: 173 meV per atom
**Total magnetization**: 0.00 μB per cell

---

# 12
DFT (PBE-GGA) results for RePAu2 after structural relaxation.

Unit cell a=2.760 b=2.760 c=8.776 alpha=90.00 beta=90.00 gamma=90.00
Fractional coordinates of all 4 atoms:
Re (0.000, 0.000, 0.000)
P (0.000, 0.000, 0.500)
Au (0.500, 0.500, 0.243)
Au (0.500, 0.500, 0.757)

**Energy of formation from the pure elements**: 607 meV per atom
**Total magnetization**: 0.08 μB per cell

---

# 13
DFT (PBE-GGA) results for ReP2Au after structural relaxation.

Unit cell a=3.077 b=4.043 c=4.998 alpha=90.00 beta=90.00 gamma=90.00
Fractional coordinates of all 4 atoms:
Re (0.000, 0.000, 0.000)
P (0.000, 0.500, 0.500)
P (0.500, 0.500, 0.000)
Au (0.500, 0.000, 0.500)

**Energy of formation from the pure elements**: 730 meV per atom
**Total magnetization**: 0.00 μB per cell
**Energy above the lowest structure with this stoichiometry**: 761.7 meV/atom

---

# 14
DFT (PBE-GGA) results for RePAu2 after structural relaxation.

Unit cell a=3.803 b=3.803 c=4.507 alpha=90.00 beta=90.00 gamma=90.00
Fractional coordinates of all 4 atoms:
Re (0.000, 0.000, 0.000)
P (0.500, 0.500, 0.000)
Au (0.000, 0.500, 0.500)
Au (0.500, 0.000, 0.500)

**Energy of formation from the pure elements**: 718 meV per atom
**Total magnetization**: 0.39 μB per cell

---

# 15
DFT (PBE-GGA) results for RePAu2 after structural relaxation.

Unit cell a=2.831 b=2.831 c=9.741 alpha=90.00 beta=90.00 gamma=120.92
Fractional coordinates of all 4 atoms:
Re (0.000, 0.000, 0.000)
P (0.000, 0.000, 0.500)
Au (0.500, 0.500, 0.253)
Au (0.500, 0.500, 0.747)

**Energy of formation from the pure elements**: 616 meV per atom
**Total magnetization**: 0.00 μB per cell

---

# 16
DFT (PBE-GGA) results for ReP2Au after structural relaxation.

Unit cell a=4.394 b=4.394 c=4.394 alpha=60.00 beta=60.00 gamma=60.00
Fractional coordinates of all 4 atoms:
Re (0.000, 0.000, 0.000)
P (0.250, 0.250, 0.250)
P (0.750, 0.750, 0.750)
Au (0.500, 0.500, 0.500)

**Energy of formation from the pure elements**: 624 meV per atom
**Total magnetization**: 0.98 μB per cell
**Energy above the lowest structure with this stoichiometry**: 656.2 meV/atom

---

# 17
DFT (PBE-GGA) results for RePAu2 after structural relaxation.

Unit cell a=9.038 b=9.038 c=9.038 alpha=18.57 beta=18.57 gamma=18.57
Fractional coordinates of all 4 atoms:
Re (0.000, 0.000, 0.000)
P (0.500, 0.500, 0.500)
Au (0.248, 0.248, 0.248)
Au (0.752, 0.752, 0.752)

**Energy of formation from the pure elements**: 551 meV per atom
**Total magnetization**: 0.00 μB per cell

---

# 18
DFT (PBE-GGA) results for RePAu after structural relaxation.

Unit cell a=4.350 b=4.350 c=4.350 alpha=60.00 beta=60.00 gamma=60.00
Fractional coordinates of all 3 atoms:
Re (0.000, 0.000, 0.000)
P (0.500, 0.500, 0.500)
Au (0.750, 0.750, 0.750)

**Energy of formation from the pure elements**: 1484 meV per atom
**Total magnetization**: 2.39 μB per cell
**Energy above the lowest structure with this stoichiometry**: 1329.2 meV/atom

---

# 19
DFT (PBE-GGA) results for ReP3Au after structural relaxation.

Unit cell a=4.633 b=4.633 c=4.633 alpha=90.00 beta=90.00 gamma=90.00
Fractional coordinates of all 5 atoms:
Re (0.000, 0.000, 0.000)
P (0.000, 0.000, 0.500)
P (0.000, 0.500, 0.000)
P (0.500, 0.000, 0.000)
Au (0.500, 0.500, 0.500)

**Energy of formation from the pure elements**: 712 meV per atom
**Total magnetization**: 0.00 μB per cell
**Energy above the lowest structure with this stoichiometry**: 0.0 meV/atom

---

# 20
DFT (PBE-GGA) results for Re2P2Au after structural relaxation.

Unit cell a=5.323 b=5.323 c=5.323 alpha=133.65 beta=133.65 gamma=67.64
Fractional coordinates of all 5 atoms:
Re (0.250, 0.750, 0.500)
Re (0.750, 0.250, 0.500)
P (0.124, 0.124, 0.000)
P (0.876, 0.876, 0.000)
Au (0.500, 0.500, 0.000)

**Energy of formation from the pure elements**: -48 meV per atom
**Total magnetization**: 0.00 μB per cell
**Energy above the lowest structure with this stoichiometry**: 0.0 meV/atom

---

# 21
DFT (PBE-GGA) results for Re2P2Au after structural relaxation.

Unit cell a=7.103 b=7.103 c=2.865 alpha=90.00 beta=90.00 gamma=90.00
Fractional coordinates of all 10 atoms:
Re (0.149, 0.351, 0.000)
Re (0.351, 0.851, 0.000)
Re (0.649, 0.149, 0.000)
Re (0.851, 0.649, 0.000)
P (0.142, 0.642, 0.500)
P (0.358, 0.142, 0.500)
P (0.642, 0.858, 0.500)
P (0.858, 0.358, 0.500)
Au (0.000, 0.000, 0.500)
Au (0.500, 0.500, 0.500)

**Energy of formation from the pure elements**: 257 meV per atom
**Total magnetization**: 0.00 μB per cell
**Energy above the lowest structure with this stoichiometry**: 304.8 meV/atom

---

# 22
DFT (PBE-GGA) results for ReP2Au after structural relaxation.

Unit cell a=3.252 b=4.623 c=4.309 alpha=90.00 beta=101.18 gamma=90.00
Fractional coordinates of all 4 atoms:
Re (0.000, 0.000, 0.000)
P (0.098, 0.500, 0.166)
P (0.634, 0.000, 0.420)
Au (0.498, 0.500, 0.702)

**Energy of formation from the pure elements**: 215 meV per atom
**Total magnetization**: 0.00 μB per cell
**Energy above the lowest structure with this stoichiometry**: 246.7 meV/atom

---

# 23
DFT (PBE-GGA) results for ReP2Au after structural relaxation.

Unit cell a=6.570 b=6.570 c=6.570 alpha=129.85 beta=129.85 gamma=73.65
Fractional coordinates of all 8 atoms:
Re (0.000, 0.000, 0.000)
Re (0.750, 0.250, 0.500)
P (0.097, 0.625, 0.972)
P (0.375, 0.347, 0.472)
P (0.653, 0.125, 0.028)
P (0.875, 0.903, 0.528)
Au (0.250, 0.750, 0.500)
Au (0.500, 0.500, 0.000)

**Energy of formation from the pure elements**: 148 meV per atom
**Total magnetization**: 0.00 μB per cell
**Energy above the lowest structure with this stoichiometry**: 179.8 meV/atom

---

# 24
DFT (PBE-GGA) results for ReP2Au after structural relaxation.

Unit cell a=6.935 b=6.935 c=6.935 alpha=154.95 beta=152.37 gamma=37.64
Fractional coordinates of all 4 atoms:
Re (0.000, 0.000, 0.000)
P (0.575, 0.575, 0.000)
P (0.856, 0.356, 0.500)
Au (0.226, 0.726, 0.500)

**Energy of formation from the pure elements**: 157 meV per atom
**Total magnetization**: 0.00 μB per cell
**Energy above the lowest structure with this stoichiometry**: 188.6 meV/atom

---

# 25
DFT (PBE-GGA) results for RePAu2 after structural relaxation.

Unit cell a=3.042 b=2.960 c=7.508 alpha=90.00 beta=101.54 gamma=90.00
Fractional coordinates of all 4 atoms:
Re (0.000, 0.000, 0.000)
P (0.578, 0.500, 0.158)
Au (0.365, 0.500, 0.726)
Au (0.727, 0.000, 0.448)

**Energy of formation from the pure elements**: 137 meV per atom
**Total magnetization**: 0.00 μB per cell

---

# 26
DFT (PBE-GGA) results for Re2PAu after structural relaxation.

Unit cell a=4.786 b=4.786 c=4.854 alpha=90.05 beta=90.05 gamma=35.69
Fractional coordinates of all 4 atoms:
Re (0.000, 0.000, 0.000)
Re (0.723, 0.723, 0.805)
P (0.461, 0.461, 0.640)
Au (0.269, 0.269, 0.295)

**Energy of formation from the pure elements**: 369 meV per atom
**Total magnetization**: 0.00 μB per cell

---

# 27
DFT (PBE-GGA) results for RePAu after structural relaxation.

Unit cell a=4.008 b=4.008 c=3.473 alpha=90.00 beta=90.00 gamma=120.00
Fractional coordinates of all 3 atoms:
Re (0.000, 0.000, 0.000)
P (0.333, 0.667, 0.008)
Au (0.667, 0.333, 0.502)

**Energy of formation from the pure elements**: 225 meV per atom
**Total magnetization**: 0.00 μB per cell
**Energy above the lowest structure with this stoichiometry**: 70.9 meV/atom

---

# 28
DFT (PBE-GGA) results for RePAu after structural relaxation.

Unit cell a=7.704 b=7.473 c=2.818 alpha=83.96 beta=74.71 gamma=21.33
Fractional coordinates of all 3 atoms:
Re (0.000, 0.000, 0.000)
P (0.622, 0.622, 0.378)
Au (0.329, 0.329, 0.671)

**Energy of formation from the pure elements**: 395 meV per atom
**Total magnetization**: 0.00 μB per cell
**Energy above the lowest structure with this stoichiometry**: 240.4 meV/atom

---

# 29
DFT (PBE-GGA) results for Re2PAu after structural relaxation.

Unit cell a=4.801 b=4.801 c=4.801 alpha=131.70 beta=131.70 gamma=70.70
Fractional coordinates of all 4 atoms:
Re (0.000, 0.000, 0.000)
Re (0.750, 0.250, 0.500)
P (0.500, 0.500, 0.000)
Au (0.250, 0.750, 0.500)

**Energy of formation from the pure elements**: 652 meV per atom
**Total magnetization**: 0.00 μB per cell

---

# 30
DFT (PBE-GGA) results for RePAu2 after structural relaxation.

Unit cell a=5.944 b=5.944 c=5.944 alpha=151.11 beta=136.29 gamma=53.25
Fractional coordinates of all 4 atoms:
Re (0.000, 0.000, 0.000)
P (0.167, 0.667, 0.500)
Au (0.432, 0.432, 0.000)
Au (0.750, 0.250, 0.500)

**Energy of formation from the pure elements**: 422 meV per atom
**Total magnetization**: 0.00 μB per cell